This record from the Alexandria database describes crystalline PrTm4Mg at its relaxed geometry. The functional is PBE-GGA.

POSCAR file:
```
PrTm4Mg
1.0
5.388 0.000 0.000
0.000 11.045 0.000
-2.694 0.000 6.044
Tm Mg Pr
8 2 2
Direct
0.021 0.706 0.041
0.979 0.206 0.959
0.321 0.700 0.642
0.495 0.441 0.990
0.169 0.979 0.338
0.505 0.941 0.010
0.831 0.479 0.662
0.679 0.200 0.358
0.653 0.689 0.305
0.347 0.189 0.695
0.179 0.418 0.357
0.821 0.918 0.643
```

Values from the calculation:
Its formation enthalpy at 0 K is 0.03 eV per atom. The value obtained for the energy above the most stable polymorph in this dataset is 28 meV per atom.

=====

This record from the Alexandria database describes crystalline Pr4TmMg at its relaxed geometry. The functional is PBE-GGA.

POSCAR file:
```
Pr4TmMg
1.0
5.748 0.000 0.000
0.000 6.456 0.003
0.000 0.014 6.456
Pr Tm Mg
4 1 1
Direct
0.500 0.328 0.672
0.000 0.174 0.174
0.000 0.826 0.826
0.500 0.672 0.328
0.500 0.000 0.000
0.000 0.500 0.500
```

Values from the calculation:
Its formation enthalpy at 0 K is 0.65 eV per atom. The value obtained for the energy above the most stable polymorph in this dataset is 669 meV per atom.

=====

This record from the Alexandria database describes crystalline Pr3Tm3Mg2 at its relaxed geometry. The functional is PBE-GGA.

POSCAR file:
```
Pr3Tm3Mg2
1.0
-2.171 -0.538 4.866
-0.166 -5.375 -3.615
14.035 -4.322 5.782
Tm Mg Pr
6 4 6
Direct
0.356 0.712 0.536
0.356 0.712 0.964
0.644 0.288 0.036
0.644 0.288 0.464
0.523 0.047 0.750
0.477 0.953 0.250
0.234 0.468 0.358
0.766 0.532 0.858
0.234 0.468 0.142
0.766 0.532 0.642
0.963 0.926 0.396
0.751 0.502 0.250
0.037 0.074 0.604
0.249 0.498 0.750
0.037 0.074 0.896
0.963 0.926 0.104
```

Values from the calculation:
Its formation enthalpy at 0 K is 0.06 eV per atom.

=====

This record from the Alexandria database describes crystalline Pr4Tm4Mg at its relaxed geometry. The functional is PBE-GGA.

POSCAR file:
```
Pr4Tm4Mg
1.0
2.631 -5.714 -5.669
-1.378 -5.854 3.018
-12.719 2.016 2.626
Tm Pr Mg
8 8 2
Direct
0.488 0.771 0.458
0.204 0.566 0.219
0.375 0.882 0.679
0.698 0.535 0.005
0.302 0.465 0.995
0.625 0.118 0.321
0.512 0.229 0.542
0.796 0.434 0.781
0.257 0.009 0.897
0.743 0.991 0.103
0.852 0.883 0.884
0.916 0.324 0.562
0.084 0.676 0.438
0.024 0.220 0.333
0.148 0.117 0.116
0.976 0.780 0.667
0.414 0.342 0.769
0.586 0.658 0.231
```

Values from the calculation:
Its formation enthalpy at 0 K is 0.01 eV per atom.